# 1
! FeW3, optimized geometry, DFT PBE-GGA; values from VASP
! - Energy of formation: 0.077 eV/atom
! - Crystal system: orthorhombic
&SYSTEM
  ibrav = 0, nat = 4, ntyp = 2
/
ATOMIC_SPECIES
Fe 55.84 Fe.upf
W 183.84 W.upf
CELL_PARAMETERS angstrom
1.586 -2.198 0.000
1.586 2.198 0.000
0.000 0.000 8.680
ATOMIC_POSITIONS angstrom
Fe 0.000 0.000 0.000
W 0.000 0.000 4.340
W 1.586 0.000 2.063
W 1.586 0.000 6.617

# 2
! Ac12Ag3O5, optimized geometry, DFT PBE-GGA; values from VASP
! - Crystal system: cubic
! - Raw formation energy: -1.348 eV per atom
&SYSTEM
  ibrav = 0, nat = 80, ntyp = 3
/
ATOMIC_SPECIES
Ac 227.00 Ac.upf
Ag 107.87 Ag.upf
O 16.00 O.upf
CELL_PARAMETERS angstrom
-8.544 8.544 8.544
8.544 -8.544 8.544
8.544 8.544 -8.544
ATOMIC_POSITIONS angstrom
Ac 2.552 -0.655 0.892
Ac 10.264 5.165 -4.927
Ac 11.096 0.655 0.892
Ac 10.264 -3.380 4.927
Ac 7.889 -0.892 2.552
Ac 13.472 -1.720 3.380
Ac 0.892 2.552 -0.655
Ac 11.924 3.617 -1.720
Ac 5.165 4.927 -1.720
Ac 7.652 2.552 0.655
Ac -0.655 0.892 2.552
Ac 4.927 -1.720 5.165
Ac 7.889 7.652 -2.552
Ac 4.927 1.720 3.380
Ac 5.165 -4.927 10.264
Ac 7.652 -2.552 7.889
Ac 3.380 4.927 1.720
Ac 9.437 5.992 0.655
Ac 4.927 10.264 -3.380
Ac 7.889 0.892 5.992
Ac 2.552 7.889 -0.892
Ac 10.264 3.380 3.617
Ac 1.720 3.380 4.927
Ac 2.552 0.655 7.652
Ac 5.992 7.889 0.892
Ac 6.824 5.165 3.617
Ac -1.720 5.165 4.927
Ac 5.992 0.655 9.437
Ac 0.655 7.652 2.552
Ac 3.617 -1.720 11.924
Ac -0.892 2.552 7.889
Ac 5.165 3.617 6.824
Ac 0.892 11.096 0.655
Ac 3.380 13.472 -1.720
Ac 3.617 6.824 5.165
Ac 0.655 0.892 11.096
Ac 3.617 10.264 3.380
Ac 9.200 7.652 5.992
Ac 0.892 5.992 7.889
Ac 3.380 3.617 10.264
Ac -3.380 4.927 10.264
Ac 7.652 5.992 9.200
Ac -4.927 10.264 5.165
Ac 0.655 9.437 5.992
Ac -1.720 11.924 3.617
Ac -2.552 7.889 7.652
Ac -1.720 3.380 13.472
Ac 5.992 9.200 7.652
Ag 4.272 2.136 0.000
Ag 8.544 4.272 -2.136
Ag 2.136 0.000 4.272
Ag 10.680 0.000 4.272
Ag 0.000 4.272 2.136
Ag 4.272 -2.136 8.544
Ag 4.272 10.680 0.000
Ag 8.544 4.272 6.408
Ag -2.136 8.544 4.272
Ag 6.408 8.544 4.272
Ag 0.000 4.272 10.680
Ag 4.272 6.408 8.544
O 0.000 0.000 0.000
O 4.272 4.272 -4.272
O 4.272 -4.272 4.272
O 8.544 0.000 0.000
O 12.816 2.136 0.000
O 8.544 -4.272 6.408
O 6.408 8.544 -4.272
O 6.408 0.000 4.272
O 4.272 6.408 0.000
O 8.544 4.272 2.136
O -4.272 4.272 4.272
O 0.000 8.544 0.000
O 0.000 0.000 8.544
O 4.272 4.272 4.272
O 0.000 4.272 6.408
O 4.272 2.136 8.544
O 2.136 8.544 4.272
O 2.136 0.000 12.816
O 0.000 12.816 2.136
O -4.272 6.408 8.544

# 3
! AcEuS, optimized geometry, DFT PBE-GGA; values from VASP
! - Crystal system: trigonal
! - Raw formation energy: -1.236 eV per atom
&SYSTEM
  ibrav = 0, nat = 3, ntyp = 3
/
ATOMIC_SPECIES
Ac 227.00 Ac.upf
Eu 151.96 Eu.upf
S 32.06 S.upf
CELL_PARAMETERS angstrom
4.126 0.000 0.000
-2.063 3.573 0.000
0.000 0.000 7.058
ATOMIC_POSITIONS angstrom
Ac 0.000 0.000 0.000
Eu 2.063 1.191 3.482
S 0.000 2.382 5.136